No. 1
{"formula": "Ca2TlCd5", "functional": "PBE-GGA", "state": "relaxed", "lattice_angstrom": [[2.258, -9.183, 0.000], [2.258, 9.183, 0.000], [0.000, 0.000, 10.322]], "species": ["Ca", "Ca", "Ca", "Ca", "Tl", "Tl", "Cd", "Cd", "Cd", "Cd", "Cd", "Cd", "Cd", "Cd", "Cd", "Cd"], "frac_coords": [[0.000, 0.000, 0.000], [0.000, 0.000, 0.500], [0.182, 0.818, 0.750], [0.818, 0.182, 0.250], [0.464, 0.536, 0.250], [0.536, 0.464, 0.750], [0.205, 0.795, 0.102], [0.205, 0.795, 0.398], [0.363, 0.637, 0.029], [0.363, 0.637, 0.471], [0.379, 0.621, 0.750], [0.621, 0.379, 0.250], [0.637, 0.363, 0.529], [0.637, 0.363, 0.971], [0.795, 0.205, 0.602], [0.795, 0.205, 0.898]], "ef_ev_per_atom": -0.230, "sg": "Cmcm", "dos_ef_per_ev_fu": 4.59}


No. 2
{"formula": "Ba2OsBr", "functional": "PBE-GGA", "state": "relaxed", "lattice_angstrom": [[5.407, 0.000, 0.000], [0.000, 3.829, 0.000], [0.000, 0.000, 12.174]], "species": ["Ba", "Ba", "Ba", "Ba", "Os", "Os", "Br", "Br"], "frac_coords": [[0.000, 0.000, 0.000], [0.000, 0.500, 0.500], [0.500, 0.000, 0.256], [0.500, 0.500, 0.756], [0.000, 0.000, 0.756], [0.000, 0.500, 0.256], [0.500, 0.000, 0.521], [0.500, 0.500, 0.021]], "polymorph_energy_ev_per_fu": 0.48, "formation_energy_uncorrected_ev_per_fu": -0.46, "sg": "Amm2", "dos_ef_per_ev_fu": 3.24}


No. 3
{"formula": "CaOsCl2", "functional": "PBE-GGA", "state": "relaxed", "lattice_angstrom": [[3.173, 0.000, 0.000], [0.000, 3.173, 0.000], [0.000, 0.000, 8.793]], "species": ["Ca", "Os", "Cl", "Cl"], "frac_coords": [[0.000, 0.000, 0.000], [0.500, 0.500, 0.736], [0.000, 0.000, 0.589], [0.500, 0.500, 0.181]], "polymorph_energy_ev_per_fu": 0.82, "formation_energy_uncorrected_ev_per_fu": -0.82, "sg": "P4mm", "dos_ef_per_ev_fu": 2.72}


No. 4
{"formula": "PmZr2Zn", "functional": "PBE-GGA", "state": "relaxed", "lattice_angstrom": [[3.326, 0.000, 0.000], [0.000, 3.326, 0.000], [0.000, 0.000, 8.320]], "species": ["Pm", "Zr", "Zr", "Zn"], "frac_coords": [[0.000, 0.000, 0.000], [0.500, 0.500, 0.293], [0.500, 0.500, 0.707], [0.000, 0.000, 0.500]], "ef_ev_per_atom": -0.025, "polymorph_energy_ev_per_fu": 0.00, "sg": "P4/mmm", "dos_ef_per_ev_fu": 3.31}


No. 5
{"formula": "K5Br2O", "functional": "PBE-GGA", "state": "relaxed", "lattice_angstrom": [[11.164, 0.000, 0.000], [0.000, 7.786, 0.000], [0.000, 0.000, 14.830]], "species": ["K", "K", "K", "K", "K", "K", "K", "K", "K", "K", "K", "K", "K", "K", "K", "K", "K", "K", "K", "K", "Br", "Br", "Br", "Br", "Br", "Br", "Br", "Br", "O", "O", "O", "O"], "frac_coords": [[0.000, 0.000, 0.000], [0.000, 0.500, 0.000], [0.093, 0.250, 0.208], [0.178, 0.515, 0.580], [0.178, 0.985, 0.580], [0.221, 0.250, 0.866], [0.279, 0.750, 0.366], [0.322, 0.015, 0.080], [0.322, 0.485, 0.080], [0.407, 0.750, 0.708], [0.500, 0.000, 0.500], [0.500, 0.500, 0.500], [0.593, 0.250, 0.292], [0.678, 0.515, 0.920], [0.678, 0.985, 0.920], [0.721, 0.250, 0.634], [0.779, 0.750, 0.134], [0.822, 0.015, 0.420], [0.822, 0.485, 0.420], [0.907, 0.750, 0.792], [0.069, 0.250, 0.430], [0.110, 0.750, 0.175], [0.390, 0.250, 0.675], [0.431, 0.750, 0.930], [0.569, 0.250, 0.070], [0.610, 0.750, 0.325], [0.890, 0.250, 0.825], [0.931, 0.750, 0.570], [0.167, 0.250, 0.036], [0.333, 0.750, 0.536], [0.667, 0.250, 0.464], [0.833, 0.750, 0.964]], "polymorph_energy_ev_per_fu": 0.06, "formation_energy_uncorrected_ev_per_fu": -9.64, "sg": "Pnma", "dos_ef_per_ev_fu": 1.69}


No. 6
{"formula": "Ni2OsPb", "functional": "PBE-GGA", "state": "relaxed", "lattice_angstrom": [[8.585, 0.000, 0.000], [0.000, 2.977, 0.000], [-0.981, 0.000, 4.761]], "species": ["Ni", "Ni", "Ni", "Ni", "Os", "Os", "Pb", "Pb"], "frac_coords": [[0.000, 0.000, 0.000], [0.244, 0.500, 0.222], [0.500, 0.500, 0.000], [0.744, 0.000, 0.222], [0.261, 0.000, 0.809], [0.761, 0.500, 0.809], [0.499, 0.000, 0.485], [0.999, 0.500, 0.485]], "ef_ev_per_atom": 0.515, "sg": "Cm", "dos_ef_per_ev_fu": 4.15}